DFT (PBE-GGA) results for a relaxed Eu2TlGe crystal.

abc: 3.7765 3.7765 32.9985
angles: 90.00 90.00 120.00
Space group R-3m (No. 166, hexagonal axes)
Symmetry-distinct sites (fractional):
Eu  0.0000  0.0000  0.1024 (multiplicity 6)
Tl  0.0000  0.0000  0.0000 (multiplicity 3)
Ge  0.0000  0.0000  0.5000 (multiplicity 3)

density of states at the Fermi level: 1.82 states/eV per atom
E_tot: -7.048 eV per atom